[1]
The following is a PBE-GGA calculation of crystalline Zn2NiW at its relaxed geometry, from the Alexandria database.

Summary:
Space-group type: Immm
Total DFT energy (no corrections) (eV for the cell shown): -20.62
E above lowest polymorph (meV/atom): 162
Energy relative to the elements (eV/atom): 0.1650

abc: 5.229 5.229 4.530
angles: 64.36 64.36 29.94
Element x y z (fractional)
Ni1 0.250 0.250 0.250
Zn1 0.981 0.981 0.019
W1 0.750 0.750 0.750
Zn2 0.519 0.519 0.481

[2]
The following is a PBE-GGA calculation of crystalline Zn2NiW at its relaxed geometry, from the Alexandria database.

Summary:
Space-group type: C2/m
Total DFT energy (no corrections) (eV for the cell shown): -20.53
E above lowest polymorph (meV/atom): 184
Energy relative to the elements (eV/atom): 0.1870

abc: 5.049 5.084 2.584
angles: 80.84 78.97 116.61
Element x y z (fractional)
Zn1 0.500 0.000 0.500
Zn2 0.000 0.000 0.000
W1 0.500 0.500 0.000
Ni1 0.000 0.500 0.500

[3]
The following is a PBE-GGA calculation of crystalline Zn2NiW at its relaxed geometry, from the Alexandria database.

Summary:
Space-group type: R-3m
Total DFT energy (no corrections) (eV for the cell shown): -20.60
E above lowest polymorph (meV/atom): 168
Energy relative to the elements (eV/atom): 0.1709

abc: 8.749 8.749 8.749
angles: 18.09 18.09 18.09
Element x y z (fractional)
Ni1 0.250 0.250 0.250
W1 0.750 0.750 0.750
Zn1 0.993 0.993 0.993
Zn2 0.507 0.507 0.507

[4]
The following is a PBE-GGA calculation of crystalline Zn2NiW at its relaxed geometry, from the Alexandria database.

Summary:
Space-group type: P2/m
Total DFT energy (no corrections) (eV for the cell shown): -20.61
E above lowest polymorph (meV/atom): 166
Energy relative to the elements (eV/atom): 0.1690

abc: 4.240 2.631 5.021
angles: 80.55 90.00 90.00
Element x y z (fractional)
Zn1 0.000 0.094 0.010
Ni1 0.500 0.250 0.250
Zn2 0.000 0.406 0.490
W1 0.500 0.750 0.750